This record from Alexandria via LeMat-Bulk describes a relaxed structure of Th5Hg. The functional is PBE.

Results
Its formation energy is -0.1 kcal/mol of atoms.

```
data_Th5Hg
_cell_length_a 4.970
_cell_length_b 15.296
_cell_length_c 4.872
_cell_angle_alpha 90.00
_cell_angle_beta 90.00
_cell_angle_gamma 90.00
_space_group_name_H-M_alt 'C m m m'
_space_group_IT_number 65
_space_group_name_Hall '-C 2 2'
loop_
_atom_site_label
_atom_site_fract_x
_atom_site_fract_y
_atom_site_fract_z
_atom_site_occupancy
Th1 0.000 0.000 0.000 1
Th2 0.000 0.164 0.500 1
Th3 0.000 0.336 0.000 1
Hg1 0.000 0.500 0.500 1
```